Record 1
Hf2MgB after structural relaxation. Source: Alexandria via LeMat-Bulk, functional PBE.

Cell: 4.554 4.554 4.554 Å, 60.00 60.00 60.00°
Fractional coordinates of all 4 atoms:
Hf 0.750 0.750 0.750
Hf 0.250 0.250 0.250
Mg 0.500 0.500 0.500
B 0.000 0.000 0.000

Results
**Relative energy among the computed polymorphs**: 0.701 eV per atom
**Formation enthalpy at 0 K**: 468 meV per atom
**Total moment**: 0.00 μB per cell

---

Record 2
HfMg6B after structural relaxation. Source: Alexandria via LeMat-Bulk, functional PBE.

Cell: 6.633 6.633 4.679 Å, 90.00 90.00 130.64°
Fractional coordinates of all 8 atoms:
Mg 0.809 0.688 0.500
Mg 0.172 0.327 0.000
Mg 0.673 0.828 0.000
Mg 0.157 0.843 0.000
Mg 0.709 0.291 0.000
Mg 0.312 0.191 0.500
Hf 0.313 0.687 0.500
B 0.856 0.144 0.500

Results
**Relative energy among the computed polymorphs**: 0.182 eV per atom
**Formation enthalpy at 0 K**: 358 meV per atom
**Total moment**: 0.00 μB per cell

---

Record 3
Hf2MgB after structural relaxation. Source: Alexandria via LeMat-Bulk, functional PBE.

Cell: 3.380 3.380 8.134 Å, 78.01 78.01 60.00°
Fractional coordinates of all 4 atoms:
Hf 0.721 0.721 0.837
Hf 0.279 0.279 0.163
Mg 0.500 0.500 0.500
B 0.000 0.000 0.000

Results
**Relative energy among the computed polymorphs**: 0.000 eV per atom
**Formation enthalpy at 0 K**: -232 meV per atom
**Total moment**: 0.00 μB per cell

---

Record 4
Hf2MgB after structural relaxation. Source: Alexandria via LeMat-Bulk, functional PBE.

Cell: 7.225 7.225 5.865 Å, 51.98 51.98 90.00°
Fractional coordinates of all 8 atoms:
Hf 0.375 0.447 0.750
Hf 0.875 0.803 0.750
Hf 0.553 0.125 0.250
Hf 0.197 0.625 0.250
B 0.500 0.500 0.000
B 0.250 0.750 0.500
Mg 0.750 0.250 0.500
Mg 0.000 0.000 0.000

Results
**Relative energy among the computed polymorphs**: 0.521 eV per atom
**Formation enthalpy at 0 K**: 288 meV per atom
**Total moment**: 0.00 μB per cell

---

Record 5
HfMg3B after structural relaxation. Source: Alexandria via LeMat-Bulk, functional PBE.

Cell: 5.649 5.649 5.649 Å, 90.00 90.00 90.00°
Last column: magnetic moment on the atom in μB.
Fractional coordinates of all 5 atoms:
B 0.500 0.500 0.500  0.10
Mg 0.000 0.500 0.000  0.02
Mg 0.500 0.000 0.000  0.05
Mg 0.000 0.000 0.500  0.01
Hf 0.000 0.000 0.000  0.84

Results
**Relative energy among the computed polymorphs**: 1.580 eV per atom
**Formation enthalpy at 0 K**: 2128 meV per atom
**Total moment**: 2.23 μB per cell

---

Record 6
HfMg6BO8 after structural relaxation. Source: Alexandria via LeMat-Bulk, functional PBE.

Cell: 4.274 4.274 8.936 Å, 90.00 90.00 90.00°
Last column: magnetic moment on the atom in μB.
Fractional coordinates of all 16 atoms:
Mg 0.000 0.500 0.258  0.00
Mg 0.000 0.500 0.742  0.00
Mg 0.500 0.500 0.500  0.00
Mg 0.500 0.000 0.742  0.00
Mg 0.000 0.000 0.500  0.00
Mg 0.500 0.000 0.258  0.00
O 0.000 0.500 0.000  0.00
O 0.000 0.500 0.500  0.00
O 0.500 0.500 0.251  0.00
O 0.500 0.000 0.500  0.00
O 0.500 0.500 0.749  0.00
O 0.000 0.000 0.271  0.00
O 0.500 0.000 0.000  0.00
O 0.000 0.000 0.729  0.00
B 0.000 0.000 0.000  0.01
Hf 0.500 0.500 0.000  0.13

Results
**Relative energy among the computed polymorphs**: 0.000 eV per atom
**Energy relative to the elements, uncorrected**: -2.1571 eV per atom
**Total moment**: 0.21 μB per cell

---

Record 7
HfMg6BO8 after structural relaxation. Source: Alexandria via LeMat-Bulk, functional PBE.

Cell: 4.256 4.256 9.377 Å, 90.00 90.00 90.00°
Last column: magnetic moment on the atom in μB.
Fractional coordinates of all 16 atoms:
Mg 0.500 0.000 0.220  0.00
Mg 0.500 0.000 0.780  0.00
Mg 0.500 0.500 0.000  0.00
Mg 0.500 0.500 0.500  0.00
Mg 0.000 0.500 0.780  0.00
Mg 0.000 0.500 0.220  0.00
O 0.500 0.500 0.242  0.00
O 0.500 0.000 0.000  0.01
O 0.500 0.500 0.758  0.00
O 0.000 0.500 0.500  0.00
O 0.000 0.500 0.000  0.01
O 0.000 0.000 0.281  0.01
O 0.500 0.000 0.500  0.00
O 0.000 0.000 0.719  0.01
B 0.000 0.000 0.000  0.10
Hf 0.000 0.000 0.500  0.01

Results
**Relative energy among the computed polymorphs**: 0.007 eV per atom
**Energy relative to the elements, uncorrected**: -2.1504 eV per atom
**Total moment**: 0.30 μB per cell

---

Record 8
HfMg2B2Rh5 after structural relaxation. Source: Alexandria via LeMat-Bulk, functional PBE.

Cell: 3.005 9.612 9.612 Å, 90.00 90.00 90.00°
Fractional coordinates of all 20 atoms:
B 0.000 0.121 0.621
B 0.000 0.379 0.121
B 0.000 0.621 0.879
B 0.000 0.879 0.379
Rh 0.500 0.722 0.428
Rh 0.500 0.000 0.500
Rh 0.500 0.222 0.072
Rh 0.500 0.428 0.278
Rh 0.500 0.500 0.000
Rh 0.500 0.278 0.572
Rh 0.500 0.072 0.778
Rh 0.500 0.572 0.722
Rh 0.500 0.928 0.222
Rh 0.500 0.778 0.928
Mg 0.000 0.823 0.677
Mg 0.000 0.323 0.823
Mg 0.000 0.177 0.323
Mg 0.000 0.677 0.177
Hf 0.000 0.000 0.000
Hf 0.000 0.500 0.500

Results
**Formation enthalpy at 0 K**: -642 meV per atom
**Total moment**: 0.00 μB per cell

---

Record 9
Hf2MgB2Rh5 after structural relaxation. Source: Alexandria via LeMat-Bulk, functional PBE.

Cell: 3.178 9.322 9.322 Å, 90.00 90.00 90.00°
Fractional coordinates of all 20 atoms:
B 0.000 0.124 0.624
B 0.000 0.624 0.876
B 0.000 0.376 0.124
B 0.000 0.876 0.376
Rh 0.500 0.279 0.571
Rh 0.500 0.929 0.221
Rh 0.500 0.571 0.721
Rh 0.500 0.000 0.500
Rh 0.500 0.500 0.000
Rh 0.500 0.721 0.429
Rh 0.500 0.221 0.071
Rh 0.500 0.429 0.279
Rh 0.500 0.779 0.929
Rh 0.500 0.071 0.779
Mg 0.000 0.500 0.500
Mg 0.000 0.000 0.000
Hf 0.000 0.324 0.824
Hf 0.000 0.676 0.176
Hf 0.000 0.176 0.324
Hf 0.000 0.824 0.676

Results
**Formation enthalpy at 0 K**: -812 meV per atom
**Total moment**: 0.00 μB per cell

---

Record 10
HfMg2BSb after structural relaxation. Source: Alexandria via LeMat-Bulk, functional PBE.

Cell: 5.611 4.335 5.611 Å, 90.00 90.00 90.00°
Last column: magnetic moment on the atom in μB.
Fractional coordinates of all 5 atoms:
Mg 0.500 0.000 0.000  0.02
Mg 0.000 0.000 0.500  0.01
Hf 0.000 0.000 0.000  0.17
B 0.000 0.500 0.000  0.00
Sb 0.500 0.500 0.500  0.01

Results
**Relative energy among the computed polymorphs**: 1.361 eV per atom
**Energy relative to the elements, uncorrected**: 1.2163 eV per atom
**Total moment**: 0.35 μB per cell

---

Record 11
HfMg2BSb after structural relaxation. Source: Alexandria via LeMat-Bulk, functional PBE.

Cell: 4.498 4.711 4.498 Å, 90.00 90.00 90.00°
Fractional coordinates of all 5 atoms:
B 0.000 0.000 0.000
Hf 0.000 0.500 0.000
Sb 0.500 0.500 0.500
Mg 0.500 0.000 0.000
Mg 0.000 0.000 0.500

Results
**Relative energy among the computed polymorphs**: 0.000 eV per atom
**Energy relative to the elements, uncorrected**: -0.1451 eV per atom
**Total moment**: 0.00 μB per cell

---

Record 12
HfMgBSe2 after structural relaxation. Source: Alexandria via LeMat-Bulk, functional PBE.

Cell: 5.189 4.477 5.189 Å, 90.00 90.00 90.00°
Fractional coordinates of all 5 atoms:
Se 0.000 0.000 0.500
Se 0.500 0.000 0.000
B 0.000 0.500 0.000
Mg 0.500 0.500 0.500
Hf 0.000 0.000 0.000

Results
**Energy relative to the elements, uncorrected**: 0.1228 eV per atom
**Total moment**: 0.00 μB per cell